Record 1
# GaNiPd6 | Alexandria via LeMat-Bulk | PBE-GGA | optimized geometry
data_GaNiPd6
_space_group_name_H-M_alt 'P 1'
_space_group_IT_number 1
_cell_length_a 4.035
_cell_length_b 5.435
_cell_length_c 5.435
_cell_angle_alpha 92.97
_cell_angle_beta 90.00
_cell_angle_gamma 90.00
loop_
_space_group_symop_operation_xyz
'x,y,z'
loop_
_atom_site_label
_atom_site_fract_x
_atom_site_fract_y
_atom_site_fract_z
Ga1 0.500 0.000 0.000
Ni1 0.500 0.500 0.500
Pd1 0.000 0.709 0.291
Pd2 0.000 0.291 0.709
Pd3 0.000 0.790 0.790
Pd4 0.000 0.210 0.210
Pd5 0.500 0.500 0.000
Pd6 0.500 0.000 0.500
# - energy above the lowest structure with this stoichiometry (eV per atom) = 0.000
# - SG = Cmmm (65)
# - formation energy from the elements (eV/atom) = -0.205

Record 2
# CsVP2S | Alexandria via LeMat-Bulk | PBE-GGA | optimized geometry
data_CsVP2S
_space_group_name_H-M_alt 'P 1'
_space_group_IT_number 1
_cell_length_a 4.700
_cell_length_b 4.700
_cell_length_c 4.971
_cell_angle_alpha 90.00
_cell_angle_beta 90.00
_cell_angle_gamma 90.00
loop_
_space_group_symop_operation_xyz
'x,y,z'
loop_
_atom_site_label
_atom_site_fract_x
_atom_site_fract_y
_atom_site_fract_z
Cs1 0.500 0.500 0.500
P1 0.000 0.500 0.000
P2 0.500 0.000 0.000
S1 0.000 0.000 0.500
V1 0.000 0.000 0.000
# - energy above the lowest structure with this stoichiometry (eV per atom) = 0.000
# - SG = P4/mmm (123)
# - energy relative to the elements, uncorrected (eV/atom) = -0.113

Record 3
# CdIn6Au10 | Alexandria via LeMat-Bulk | PBE-GGA | optimized geometry
data_CdIn6Au10
_space_group_name_H-M_alt 'P 1'
_space_group_IT_number 1
_cell_length_a 7.479
_cell_length_b 7.739
_cell_length_c 7.485
_cell_angle_alpha 121.68
_cell_angle_beta 80.33
_cell_angle_gamma 94.09
loop_
_space_group_symop_operation_xyz
'x,y,z'
loop_
_atom_site_label
_atom_site_fract_x
_atom_site_fract_y
_atom_site_fract_z
Cd1 0.500 0.000 0.000
In1 0.718 0.461 0.387
In2 0.748 0.965 0.565
In3 0.719 0.586 0.016
In4 0.282 0.539 0.613
In5 0.252 0.035 0.435
In6 0.281 0.414 0.984
Au1 0.843 0.773 0.773
Au2 0.784 0.037 0.223
Au3 0.898 0.236 0.962
Au4 0.157 0.227 0.227
Au5 0.216 0.963 0.777
Au6 0.102 0.764 0.038
Au7 0.543 0.299 0.632
Au8 0.457 0.701 0.368
Au9 0.050 0.672 0.372
Au10 0.950 0.328 0.628
# - SG = P-1 (2)
# - formation energy from the elements (eV/atom) = -0.136

Record 4
# La5Tl4Pd | Alexandria via LeMat-Bulk | PBE-GGA | optimized geometry
data_La5Tl4Pd
_space_group_name_H-M_alt 'P 1'
_space_group_IT_number 1
_cell_length_a 3.740
_cell_length_b 3.740
_cell_length_c 21.457
_cell_angle_alpha 90.00
_cell_angle_beta 90.00
_cell_angle_gamma 90.00
loop_
_space_group_symop_operation_xyz
'x,y,z'
loop_
_atom_site_label
_atom_site_fract_x
_atom_site_fract_y
_atom_site_fract_z
La1 0.500 0.500 0.082
La2 0.500 0.500 0.291
La3 0.500 0.500 0.500
La4 0.500 0.500 0.709
La5 0.500 0.500 0.918
Tl1 0.000 0.000 0.188
Tl2 0.000 0.000 0.396
Tl3 0.000 0.000 0.604
Tl4 0.000 0.000 0.812
Pd1 0.000 0.000 0.000
# - SG = P4/mmm (123)
# - formation energy from the elements (eV/atom) = -0.499

Record 5
# NbTlF3 | Alexandria via LeMat-Bulk | PBE-GGA | optimized geometry
data_NbTlF3
_space_group_name_H-M_alt 'P 1'
_space_group_IT_number 1
_cell_length_a 4.657
_cell_length_b 4.657
_cell_length_c 4.657
_cell_angle_alpha 90.00
_cell_angle_beta 90.00
_cell_angle_gamma 90.00
loop_
_space_group_symop_operation_xyz
'x,y,z'
loop_
_atom_site_label
_atom_site_fract_x
_atom_site_fract_y
_atom_site_fract_z
Tl1 0.000 0.000 0.000
Nb1 0.500 0.500 0.500
F1 0.000 0.500 0.000
F2 0.000 0.000 0.500
F3 0.500 0.000 0.000
# - energy above the lowest structure with this stoichiometry (eV per atom) = 1.234
# - SG = Pm-3m (221)
# - energy relative to the elements, uncorrected (eV/atom) = -0.630